{"formula": "Y2Sc4Ge3O2", "functional": "PBE-GGA", "state": "optimized geometry", "energy_ev_per_fu": -80.4, "lattice": [[-2.137, 2.137, 11.506], [2.137, -2.137, 11.506], [2.137, 2.137, -11.506]], "species": ["Y", "Y", "Sc", "Sc", "Sc", "Sc", "Ge", "Ge", "Ge", "O", "O"], "frac_coords": [[0.196, 0.196, 0.000], [0.804, 0.804, 0.000], [0.079, 0.579, 0.500], [0.421, 0.921, 0.500], [0.579, 0.079, 0.500], [0.921, 0.421, 0.500], [0.328, 0.328, 0.000], [0.500, 0.500, 0.000], [0.672, 0.672, 0.000], [0.090, 0.090, 0.000], [0.910, 0.910, 0.000]]}

=====

{"formula": "YSc2GeO", "functional": "PBE-GGA", "state": "optimized geometry", "energy_ev_per_fu": -36.0, "lattice": [[4.350, 0.000, 0.000], [0.000, 4.350, 0.000], [0.000, 0.000, 4.759]], "species": ["Y", "Sc", "Sc", "Ge", "O"], "frac_coords": [[0.000, 0.000, 0.000], [0.000, 0.500, 0.500], [0.500, 0.000, 0.500], [0.500, 0.500, 0.000], [0.000, 0.000, 0.500]]}

=====

{"formula": "YScGeO5", "functional": "PBE-GGA", "state": "optimized geometry", "energy_ev_per_fu": -64.9, "lattice": [[3.412, -4.571, 0.000], [3.412, 4.571, 0.000], [-2.822, 0.000, 6.700]], "species": ["Y", "Y", "Sc", "Sc", "Ge", "Ge", "O", "O", "O", "O", "O", "O", "O", "O", "O", "O"], "frac_coords": [[0.174, 0.826, 0.750], [0.826, 0.174, 0.250], [0.500, 0.500, 0.000], [0.500, 0.500, 0.500], [0.172, 0.828, 0.250], [0.828, 0.172, 0.750], [0.123, 0.220, 0.927], [0.164, 0.598, 0.379], [0.220, 0.123, 0.427], [0.402, 0.836, 0.121], [0.407, 0.593, 0.750], [0.593, 0.407, 0.250], [0.598, 0.164, 0.879], [0.780, 0.877, 0.573], [0.836, 0.402, 0.621], [0.877, 0.780, 0.073]]}

=====

{"formula": "ZrScGeO6", "functional": "PBE-GGA", "state": "optimized geometry", "energy_ev_per_fu": -71.6, "lattice": [[4.767, 0.000, 0.000], [0.000, 4.767, 0.000], [0.000, 0.000, 9.456]], "species": ["Zr", "Zr", "Sc", "Sc", "Ge", "Ge", "O", "O", "O", "O", "O", "O", "O", "O", "O", "O", "O", "O"], "frac_coords": [[0.000, 0.000, 0.000], [0.500, 0.500, 0.500], [0.000, 0.000, 0.665], [0.500, 0.500, 0.165], [0.000, 0.000, 0.333], [0.500, 0.500, 0.833], [0.188, 0.188, 0.484], [0.189, 0.189, 0.182], [0.213, 0.213, 0.834], [0.287, 0.713, 0.334], [0.311, 0.689, 0.682], [0.312, 0.688, 0.984], [0.688, 0.312, 0.984], [0.689, 0.311, 0.682], [0.713, 0.287, 0.334], [0.787, 0.787, 0.834], [0.811, 0.811, 0.182], [0.812, 0.812, 0.484]]}

=====

Uncorrected formation energy values, unit eV per atom, following the record order: -1.67 -1.46 -2.83 -2.48.